No. 1
Material: LaIn2Re
Method: DFT, SCAN
State: PBEsol geometry

Geometry as CIF:
```
data_LaIn2Re
_cell_length_a 3.307
_cell_length_b 3.307
_cell_length_c 9.974
_cell_angle_alpha 80.46
_cell_angle_beta 80.46
_cell_angle_gamma 60.00
_symmetry_space_group_name_H-M 'P 1'
_symmetry_Int_Tables_number 1
_symmetry_space_group_name_Hall 'P 1'
loop_
_atom_site_label
_atom_site_type_symbol
_atom_site_fract_x
_atom_site_fract_y
_atom_site_fract_z
In1 In 0.744 0.744 0.769
In2 In 0.990 0.990 0.031
Re1 Re 0.253 0.253 0.241
La1 La 0.514 0.514 0.459
```

Summary:
- Energy of formation: 0.47 eV per atom
- N(E_F): 2.43 states/eV per cell
- Polymorph energy (0 for the lowest one): 1.06 eV/f.u.

***

No. 2
Material: SnHgPd2
Method: DFT, SCAN
State: PBEsol geometry

Geometry as CIF:
```
data_SnHgPd2
_cell_length_a 4.616
_cell_length_b 4.616
_cell_length_c 4.616
_cell_angle_alpha 60.00
_cell_angle_beta 60.00
_cell_angle_gamma 60.00
_symmetry_space_group_name_H-M 'P 1'
_symmetry_Int_Tables_number 1
_symmetry_space_group_name_Hall 'P 1'
loop_
_atom_site_label
_atom_site_type_symbol
_atom_site_fract_x
_atom_site_fract_y
_atom_site_fract_z
Pd1 Pd 0.250 0.250 0.250
Pd2 Pd 0.750 0.750 0.750
Sn1 Sn 0.000 0.000 0.000
Hg1 Hg 0.500 0.500 0.500
```

Summary:
- Energy of formation: -0.27 eV per atom
- N(E_F): 1.10 states/eV per cell

***

No. 3
Material: AgCl2
Method: DFT, SCAN
State: PBEsol geometry

Geometry as CIF:
```
data_AgCl2
_cell_length_a 3.174
_cell_length_b 3.174
_cell_length_c 6.653
_cell_angle_alpha 103.80
_cell_angle_beta 103.80
_cell_angle_gamma 90.00
_symmetry_space_group_name_H-M 'P 1'
_symmetry_Int_Tables_number 1
_symmetry_space_group_name_Hall 'P 1'
loop_
_atom_site_label
_atom_site_type_symbol
_atom_site_fract_x
_atom_site_fract_y
_atom_site_fract_z
Cl1 Cl 0.872 0.872 0.744
Cl2 Cl 0.128 0.128 0.256
Ag1 Ag 0.500 0.500 0.000
```

Summary:
- Formation energy without anion corrections: -119.2 meV/atom
- N(E_F): 2.60 states/eV per cell

***

No. 4
Material: TiBeI2N
Method: DFT, SCAN
State: PBEsol geometry

Geometry as CIF:
```
data_TiBeI2N
_cell_length_a 3.715
_cell_length_b 5.536
_cell_length_c 5.536
_cell_angle_alpha 90.00
_cell_angle_beta 90.00
_cell_angle_gamma 90.00
_symmetry_space_group_name_H-M 'P 1'
_symmetry_Int_Tables_number 1
_symmetry_space_group_name_Hall 'P 1'
loop_
_atom_site_label
_atom_site_type_symbol
_atom_site_fract_x
_atom_site_fract_y
_atom_site_fract_z
N1 N 0.500 0.000 0.000
I1 I 0.000 0.500 0.000
I2 I 0.000 0.000 0.500
Be1 Be 0.500 0.500 0.500
Ti1 Ti 0.000 0.000 0.000
```

Summary:
- Formation energy without anion corrections: 287.7 meV/atom
- N(E_F): 2.39 states/eV per cell

***

No. 5
Material: Sb3P
Method: DFT, SCAN
State: PBEsol geometry

Geometry as CIF:
```
data_Sb3P
_cell_length_a 3.252
_cell_length_b 3.252
_cell_length_c 9.419
_cell_angle_alpha 90.00
_cell_angle_beta 90.00
_cell_angle_gamma 110.82
_symmetry_space_group_name_H-M 'P 1'
_symmetry_Int_Tables_number 1
_symmetry_space_group_name_Hall 'P 1'
loop_
_atom_site_label
_atom_site_type_symbol
_atom_site_fract_x
_atom_site_fract_y
_atom_site_fract_z
Sb1 Sb 0.500 0.500 0.783
Sb2 Sb 0.500 0.500 0.217
Sb3 Sb 0.000 0.000 0.500
P1 P 0.000 0.000 0.000
```

Summary:
- Formation energy without anion corrections: 462.3 meV/atom
- N(E_F): 2.35 states/eV per cell
- Polymorph energy (0 for the lowest one): 1.36 eV/f.u.

***

No. 6
Material: AlTlCo2
Method: DFT, SCAN
State: PBEsol geometry

Geometry as CIF:
```
data_AlTlCo2
_cell_length_a 4.239
_cell_length_b 4.235
_cell_length_c 4.239
_cell_angle_alpha 59.97
_cell_angle_beta 90.00
_cell_angle_gamma 120.03
_symmetry_space_group_name_H-M 'P 1'
_symmetry_Int_Tables_number 1
_symmetry_space_group_name_Hall 'P 1'
loop_
_atom_site_label
_atom_site_type_symbol
_atom_site_fract_x
_atom_site_fract_y
_atom_site_fract_z
Co1 Co 0.250 0.500 0.250
Co2 Co 0.750 0.500 0.750
Tl1 Tl 0.000 0.000 0.000
Al1 Al 0.500 0.000 0.500
```

Summary:
- Energy of formation: 0.22 eV per atom
- N(E_F): 2.71 states/eV per cell
- Polymorph energy (0 for the lowest one): 0.00 eV/f.u.

***

No. 7
Material: SrCuTc2
Method: DFT, SCAN
State: PBEsol geometry

Geometry as CIF:
```
data_SrCuTc2
_cell_length_a 3.772
_cell_length_b 3.772
_cell_length_c 4.829
_cell_angle_alpha 90.00
_cell_angle_beta 90.00
_cell_angle_gamma 90.00
_symmetry_space_group_name_H-M 'P 1'
_symmetry_Int_Tables_number 1
_symmetry_space_group_name_Hall 'P 1'
loop_
_atom_site_label
_atom_site_type_symbol
_atom_site_fract_x
_atom_site_fract_y
_atom_site_fract_z
Cu1 Cu 0.500 0.500 0.500
Tc1 Tc 0.500 0.000 0.000
Tc2 Tc 0.000 0.500 0.000
Sr1 Sr 0.000 0.000 0.500
```

Summary:
- Energy of formation: 0.93 eV per atom
- N(E_F): 2.79 states/eV per cell

***

No. 8
Material: RbMgTl2W
Method: DFT, SCAN
State: PBEsol geometry

Geometry as CIF:
```
data_RbMgTl2W
_cell_length_a 5.365
_cell_length_b 5.461
_cell_length_c 5.461
_cell_angle_alpha 90.00
_cell_angle_beta 90.00
_cell_angle_gamma 90.00
_symmetry_space_group_name_H-M 'P 1'
_symmetry_Int_Tables_number 1
_symmetry_space_group_name_Hall 'P 1'
loop_
_atom_site_label
_atom_site_type_symbol
_atom_site_fract_x
_atom_site_fract_y
_atom_site_fract_z
Rb1 Rb 0.500 0.500 0.500
Mg1 Mg 0.000 0.000 0.000
W1 W 0.500 0.000 0.000
Tl1 Tl 0.000 0.500 0.000
Tl2 Tl 0.000 0.000 0.500
```

Summary:
- Energy of formation: 1.17 eV per atom
- N(E_F): 3.41 states/eV per cell

***

No. 9
Material: Cs2SrTc
Method: DFT, SCAN
State: PBEsol geometry

Geometry as CIF:
```
data_Cs2SrTc
_cell_length_a 6.145
_cell_length_b 6.145
_cell_length_c 6.145
_cell_angle_alpha 60.00
_cell_angle_beta 60.00
_cell_angle_gamma 60.00
_symmetry_space_group_name_H-M 'P 1'
_symmetry_Int_Tables_number 1
_symmetry_space_group_name_Hall 'P 1'
loop_
_atom_site_label
_atom_site_type_symbol
_atom_site_fract_x
_atom_site_fract_y
_atom_site_fract_z
Cs1 Cs 0.750 0.750 0.750
Cs2 Cs 0.250 0.250 0.250
Tc1 Tc 0.500 0.500 0.500
Sr1 Sr 0.000 0.000 0.000
```

Summary:
- Energy of formation: 1.30 eV per atom
- N(E_F): 2.10 states/eV per cell

***

No. 10
Material: MgBeHg2
Method: DFT, SCAN
State: PBEsol geometry

Geometry as CIF:
```
data_MgBeHg2
_cell_length_a 3.197
_cell_length_b 3.197
_cell_length_c 6.817
_cell_angle_alpha 90.00
_cell_angle_beta 90.00
_cell_angle_gamma 90.00
_symmetry_space_group_name_H-M 'P 1'
_symmetry_Int_Tables_number 1
_symmetry_space_group_name_Hall 'P 1'
loop_
_atom_site_label
_atom_site_type_symbol
_atom_site_fract_x
_atom_site_fract_y
_atom_site_fract_z
Mg1 Mg 0.500 0.500 0.000
Hg1 Hg 0.000 0.000 0.280
Hg2 Hg 0.000 0.000 0.720
Be1 Be 0.500 0.500 0.500
```

Summary:
- Energy of formation: 0.06 eV per atom
- N(E_F): 1.31 states/eV per cell
- Polymorph energy (0 for the lowest one): 0.00 eV/f.u.

***

No. 11
Material: Tc3GeMo
Method: DFT, SCAN
State: PBEsol geometry

Geometry as CIF:
```
data_Tc3GeMo
_cell_length_a 4.392
_cell_length_b 4.392
_cell_length_c 4.392
_cell_angle_alpha 90.00
_cell_angle_beta 90.00
_cell_angle_gamma 90.00
_symmetry_space_group_name_H-M 'P 1'
_symmetry_Int_Tables_number 1
_symmetry_space_group_name_Hall 'P 1'
loop_
_atom_site_label
_atom_site_type_symbol
_atom_site_fract_x
_atom_site_fract_y
_atom_site_fract_z
Mo1 Mo 0.500 0.500 0.500
Tc1 Tc 0.500 0.000 0.000
Tc2 Tc 0.000 0.000 0.500
Tc3 Tc 0.000 0.500 0.000
Ge1 Ge 0.000 0.000 0.000
```

Summary:
- Energy of formation: 1.34 eV per atom
- N(E_F): 2.15 states/eV per cell

***

No. 12
Material: SrSiBAu2
Method: DFT, SCAN
State: PBEsol geometry

Geometry as CIF:
```
data_SrSiBAu2
_cell_length_a 4.432
_cell_length_b 4.432
_cell_length_c 4.675
_cell_angle_alpha 90.00
_cell_angle_beta 90.00
_cell_angle_gamma 90.00
_symmetry_space_group_name_H-M 'P 1'
_symmetry_Int_Tables_number 1
_symmetry_space_group_name_Hall 'P 1'
loop_
_atom_site_label
_atom_site_type_symbol
_atom_site_fract_x
_atom_site_fract_y
_atom_site_fract_z
Si1 Si 0.000 0.000 0.500
Au1 Au 0.000 0.500 0.000
Au2 Au 0.500 0.000 0.000
B1 B 0.000 0.000 0.000
Sr1 Sr 0.500 0.500 0.500
```

Summary:
- Formation energy without anion corrections: -7.1 meV/atom
- N(E_F): 1.39 states/eV per cell

***

No. 13
Material: Sr2YNbS
Method: DFT, SCAN
State: PBEsol geometry

Geometry as CIF:
```
data_Sr2YNbS
_cell_length_a 4.719
_cell_length_b 5.632
_cell_length_c 5.632
_cell_angle_alpha 90.00
_cell_angle_beta 90.00
_cell_angle_gamma 90.00
_symmetry_space_group_name_H-M 'P 1'
_symmetry_Int_Tables_number 1
_symmetry_space_group_name_Hall 'P 1'
loop_
_atom_site_label
_atom_site_type_symbol
_atom_site_fract_x
_atom_site_fract_y
_atom_site_fract_z
Sr1 Sr 0.000 0.500 0.000
Sr2 Sr 0.000 0.000 0.500
Y1 Y 0.500 0.500 0.500
S1 S 0.000 0.000 0.000
Nb1 Nb 0.500 0.000 0.000
```

Summary:
- Formation energy without anion corrections: -153.1 meV/atom
- N(E_F): 5.96 states/eV per cell

***

No. 14
Material: MgTlPb2
Method: DFT, SCAN
State: PBEsol geometry

Geometry as CIF:
```
data_MgTlPb2
_cell_length_a 3.575
_cell_length_b 5.548
_cell_length_c 6.452
_cell_angle_alpha 115.46
_cell_angle_beta 106.08
_cell_angle_gamma 90.00
_symmetry_space_group_name_H-M 'P 1'
_symmetry_Int_Tables_number 1
_symmetry_space_group_name_Hall 'P 1'
loop_
_atom_site_label
_atom_site_type_symbol
_atom_site_fract_x
_atom_site_fract_y
_atom_site_fract_z
Pb1 Pb 0.265 0.265 0.530
Pb2 Pb 0.735 0.735 0.470
Mg1 Mg 0.000 0.500 0.000
Tl1 Tl 0.500 0.000 0.000
```

Summary:
- Energy of formation: -0.03 eV per atom
- N(E_F): 1.78 states/eV per cell